No. 1
This record from Alexandria describes Na3PdF6 after structural relaxation. The functional is PBE.

Energy relative to the lowest polymorph listed for this composition ... 0.000 eV per atom
Energy ... -42.351 eV/f.u.
Calculated volume ... 136.9 Å³/f.u.
Space group ... P2_1/c, No. 14
Formation energy from raw total energies ... -212 kJ per mole of atoms

The structure in CIF format:
```
data_Na3PdF6
_chemical_formula_sum 'Na6 Pd2 F12'
_cell_length_a 5.6023
_cell_length_b 5.8298
_cell_length_c 9.9434
_cell_angle_alpha 90.00
_cell_angle_beta 122.54
_cell_angle_gamma 90.00
_symmetry_space_group_name_H-M 'P 1'
_symmetry_Int_Tables_number 1
loop_
_symmetry_equiv_pos_as_xyz
'x,y,z'
loop_
_atom_site_label
_atom_site_fract_x
_atom_site_fract_y
_atom_site_fract_z
Na1 0.0000 0.0000 0.0000
Na2 0.0000 0.5000 0.5000
Na3 0.2641 0.0603 0.7526
Na4 0.2641 0.4397 0.2526
Na5 0.7359 0.5603 0.7474
Na6 0.7359 0.9397 0.2474
Pd1 0.5000 0.0000 0.5000
Pd2 0.5000 0.5000 0.0000
F1 0.1271 0.0692 0.2574
F2 0.1271 0.4308 0.7574
F3 0.2810 0.6800 0.0688
F4 0.2810 0.8200 0.5688
F5 0.4027 0.2137 0.0714
F6 0.4027 0.2863 0.5714
F7 0.5973 0.7137 0.4286
F8 0.5973 0.7863 0.9286
F9 0.7190 0.1800 0.4312
F10 0.7190 0.3200 0.9312
F11 0.8729 0.5692 0.2426
F12 0.8729 0.9308 0.7426
```

No. 2
This record from Alexandria describes NaPd2F after structural relaxation. The functional is PBE.

Energy relative to the lowest polymorph listed for this composition ... 0.519 eV per atom
Energy ... -13.698 eV/f.u.
Calculated volume ... 62.9 Å³/f.u.
Space group ... Fm-3m, No. 225
Fermi-level density of states ... 0.7741 states/eV per atom
Formation energy from raw total energies ... -3 kJ per mole of atoms

The structure in CIF format:
```
data_NaPd2F
_chemical_formula_sum 'Na1 Pd2 F1'
_cell_length_a 4.4648
_cell_length_b 4.4648
_cell_length_c 4.4648
_cell_angle_alpha 60.00
_cell_angle_beta 60.00
_cell_angle_gamma 60.00
_symmetry_space_group_name_H-M 'P 1'
_symmetry_Int_Tables_number 1
loop_
_symmetry_equiv_pos_as_xyz
'x,y,z'
loop_
_atom_site_label
_atom_site_fract_x
_atom_site_fract_y
_atom_site_fract_z
Na1 0.0000 0.0000 0.0000
Pd1 0.2500 0.2500 0.2500
Pd2 0.7500 0.7500 0.7500
F1 0.5000 0.5000 0.5000
```

No. 3
This record from Alexandria describes NaPd2F4 after structural relaxation. The functional is PBE.

Energy relative to the lowest polymorph listed for this composition ... 0.302 eV per atom
Energy ... -27.213 eV/f.u.
Calculated volume ... 105.9 Å³/f.u.
Space group ... I4/mmm, No. 139
Fermi-level density of states ... 1.1583 states/eV per atom
Formation energy from raw total energies ... -111 kJ per mole of atoms

The structure in CIF format:
```
data_NaPd2F4
_chemical_formula_sum 'Na1 Pd2 F4'
_cell_length_a 6.2776
_cell_length_b 6.2776
_cell_length_c 6.2776
_cell_angle_alpha 138.89
_cell_angle_beta 138.89
_cell_angle_gamma 59.54
_symmetry_space_group_name_H-M 'P 1'
_symmetry_Int_Tables_number 1
loop_
_symmetry_equiv_pos_as_xyz
'x,y,z'
loop_
_atom_site_label
_atom_site_fract_x
_atom_site_fract_y
_atom_site_fract_z
Na1 0.0000 0.0000 0.0000
Pd1 0.3900 0.3900 0.0000
Pd2 0.6100 0.6100 0.0000
F1 0.0000 0.5000 0.5000
F2 0.2046 0.2046 0.0000
F3 0.5000 0.0000 0.5000
F4 0.7954 0.7954 0.0000
```

No. 4
This record from Alexandria describes Na2PdF8 after structural relaxation. The functional is PBE.

Energy ... -38.300 eV/f.u.
Calculated volume ... 144.9 Å³/f.u.
Space group ... C2/m, No. 12
Fermi-level density of states ... 0.3838 states/eV per atom
Formation energy from raw total energies ... -136 kJ per mole of atoms

The structure in CIF format:
```
data_Na2PdF8
_chemical_formula_sum 'Na2 Pd1 F8'
_cell_length_a 7.8951
_cell_length_b 7.8951
_cell_length_c 5.1847
_cell_angle_alpha 104.88
_cell_angle_beta 104.88
_cell_angle_gamma 27.71
_symmetry_space_group_name_H-M 'P 1'
_symmetry_Int_Tables_number 1
loop_
_symmetry_equiv_pos_as_xyz
'x,y,z'
loop_
_atom_site_label
_atom_site_fract_x
_atom_site_fract_y
_atom_site_fract_z
Na1 0.1414 0.1414 0.1338
Na2 0.8586 0.8586 0.8662
Pd1 0.5000 0.5000 0.5000
F1 0.0128 0.0128 0.2945
F2 0.2443 0.2443 0.8972
F3 0.3809 0.3809 0.5799
F4 0.4174 0.4174 0.1394
F5 0.5826 0.5826 0.8606
F6 0.6191 0.6191 0.4201
F7 0.7557 0.7557 0.1028
F8 0.9872 0.9872 0.7055
```

Question: energy of number 2 (NaPd2F)?
Answer: -13.698 eV/f.u.

Question: Look up the energy of the third one.
Answer: -27.213 eV/f.u.

Question: Which value of calculated volume does entry 3 give?
Answer: 105.9 Å³/f.u.

Question: What is the calculated volume in the first record?
Answer: 136.9 Å³/f.u.